No. 1
Ca3Pm3Ge4 | PBE-GGA | optimized geometry

```
10
Lattice="-3.534 2.575 -0.550 0.484 -0.975 -7.680 -4.613 -6.211 0.561" Properties=species:S:1:pos:R:3 pbc="T T T"
Pm -2.172 -0.602 -6.517
Ca -4.365 -6.686 -3.256
Ca -5.485 -4.005 -1.160
Pm -3.102 -1.039 -2.585
Ge -3.656 -6.351 -6.244
Ca -2.320 -3.126 0.270
Pm -4.555 -3.568 -5.091
Ge -0.509 -0.873 -0.817
Ge -1.453 -2.965 -4.548
Ge -2.641 -4.185 -2.628
```

Summary:
Calculated formation energy in eV/atom: -0.714

=====

No. 2
Rb8As2Br | PBE-GGA | optimized geometry

```
11
Lattice="5.364 0.000 -1.448 -0.443 9.143 -1.639 0.232 0.372 11.517" Properties=species:S:1:pos:R:3 pbc="T T T"
Rb -0.119 7.357 -0.442
As 4.372 2.767 5.535
Rb 2.042 4.570 7.565
Rb 5.272 2.157 8.872
As 0.782 6.748 2.895
Rb 3.303 9.071 1.576
Rb 1.103 3.287 4.087
Rb 3.111 4.944 0.864
Rb 1.850 0.444 6.854
Br 2.682 0.000 -0.724
Rb 4.050 6.228 4.343
```

Summary:
Formation energy without anion corrections in eV per atom: -0.48

=====

No. 3
GeTePt | PBE-GGA | optimized geometry

```
18
Lattice="-2.698 0.992 -4.352 -3.752 -6.434 0.920 -7.679 3.929 5.722" Properties=species:S:1:pos:R:3 pbc="T T T"
Te -5.132 1.744 2.242
Pt -3.225 -2.721 -1.716
Ge -8.291 3.362 1.420
Ge -5.837 -4.876 0.871
Te -10.440 0.112 1.586
Pt -9.609 -2.219 2.519
Ge -10.256 -1.219 4.757
Pt 0.000 0.000 0.000
Ge -7.131 -1.319 2.330
Te -3.688 -1.626 0.705
Pt -5.135 -2.926 2.481
Te -8.997 -3.258 0.049
Te -8.440 2.165 3.903
Pt -4.519 0.705 -0.228
Ge -6.998 -0.194 -0.040
Pt -8.994 1.412 -0.190
Ge -3.872 -0.294 -2.467
Te -5.688 -3.678 -1.613
```

Summary:
Formation energy without anion corrections in eV per atom: -0.36

=====

No. 4
TbNiAgPd | PBE-GGA | optimized geometry

```
4
Lattice="4.665 0.000 0.000 2.332 4.040 0.000 2.332 1.347 3.809" Properties=species:S:1:pos:R:3 pbc="T T T"
Ag 2.332 1.347 0.952
Pd 0.000 0.000 0.000
Tb 6.997 4.040 2.856
Ni 4.665 2.693 1.904
```

Summary:
Calculated formation energy in eV/atom: -0.349

=====

No. 5
La2TlTe4 | PBE-GGA | optimized geometry

```
7
Lattice="5.663 0.000 0.000 0.000 5.663 0.000 2.831 2.831 8.324" Properties=species:S:1:pos:R:3 pbc="T T T"
Te 2.831 2.831 5.164
La 2.831 2.831 2.146
La 5.663 5.663 6.178
Te 5.663 5.663 3.160
Te 2.831 0.000 0.000
Te 0.000 2.831 0.000
Tl 0.000 0.000 0.000
```

Summary:
Formation energy without anion corrections in eV per atom: -0.76

=====

No. 6
CeCdAg | PBE-GGA | optimized geometry

```
3
Lattice="-2.923 -0.172 1.332 -0.537 -4.678 -1.781 2.028 0.745 4.547" Properties=species:S:1:pos:R:3 pbc="T T T"
Ce -1.631 -2.985 1.216
Ag 0.687 -1.091 2.659
Cd -0.488 -0.029 0.222
```

Summary:
Calculated formation energy in eV/atom: -0.221

=====

No. 7
Cs2HoGeS4 | PBE-GGA | optimized geometry

```
16
Lattice="-3.778 -5.141 1.461 1.536 -3.250 7.193 -10.516 5.305 6.130" Properties=species:S:1:pos:R:3 pbc="T T T"
S -10.042 3.020 7.201
Ge -1.889 -2.570 0.731
S -7.797 -0.544 6.687
Ge -5.435 -0.258 7.027
Cs -4.222 -5.659 5.817
Ho -7.323 -2.828 7.758
S -8.547 -3.562 9.891
S -4.818 -2.348 8.042
Ho 0.000 0.000 0.000
S -2.970 -3.110 2.809
S -4.353 0.282 4.949
Cs -7.415 2.474 4.189
Cs -10.425 0.003 9.699
S -0.969 -3.730 6.909
S -11.534 -2.351 12.652
Cs -6.879 -2.310 3.402
```

Summary:
Formation energy without anion corrections in eV per atom: -1.11

=====

No. 8
Cs2HgIrN | PBE-GGA | optimized geometry

```
5
Lattice="6.660 0.000 0.000 0.000 6.660 0.000 0.000 0.000 3.743" Properties=species:S:1:pos:R:3 pbc="T T T"
Cs 0.000 3.330 0.000
Ir 0.000 0.000 1.871
Hg 3.330 3.330 1.871
Cs 3.330 0.000 0.000
N 0.000 0.000 0.000
```

Summary:
Formation energy without anion corrections in eV per atom: -0.05

=====

No. 9
AuSBr2N | PBE-GGA | optimized geometry

```
5
Lattice="-0.962 4.076 -3.379 1.824 -2.470 -3.498 -4.856 -2.048 -1.087" Properties=species:S:1:pos:R:3 pbc="T T T"
Br -0.481 2.038 -1.690
S 0.000 0.000 0.000
Br -2.428 -1.024 -0.543
Au 0.912 -1.235 -1.749
N -1.997 -0.221 -3.982
```

Summary:
Formation energy without anion corrections in eV per atom: 1.28

=====

No. 10
CrSb2Pb | PBE-GGA | optimized geometry

```
4
Lattice="-6.640 -2.655 2.517 3.934 0.980 3.199 -2.432 2.197 2.309" Properties=species:S:1:pos:R:3 pbc="T T T"
Cr 0.751 1.589 2.754
Sb 0.000 0.000 0.000
Pb -1.353 -0.837 2.858
Sb -4.536 -0.229 2.413
```

Summary:
Formation energy without anion corrections in eV per atom: 0.36

=====

No. 11
CsPrBi2 | PBE-GGA | optimized geometry

```
4
Lattice="4.399 0.000 0.000 0.000 4.399 0.000 0.000 0.000 8.341" Properties=species:S:1:pos:R:3 pbc="T T T"
Bi 0.000 0.000 6.808
Bi 0.000 0.000 1.532
Pr 2.199 2.199 0.000
Cs 2.199 2.199 4.170
```

Summary:
Relative energy among the computed polymorphs in meV per atom: 0
Calculated formation energy in eV/atom: -0.572

=====

No. 12
TbPuPtAu | PBE-GGA | optimized geometry

```
4
Lattice="5.048 0.000 0.000 2.524 4.372 0.000 2.524 1.457 4.122" Properties=species:S:1:pos:R:3 pbc="T T T"
Pu 2.524 1.457 1.030
Tb 7.572 4.372 3.091
Pt 5.048 2.914 2.061
Au 0.000 0.000 0.000
```

Summary:
Relative energy among the computed polymorphs in meV per atom: 64
Calculated formation energy in eV/atom: -0.757

=====

Total magnetic moment? In order: 0.00, 0.00, 0.00, 0.00, 0.00, 1.04, 0.00, 0.00, 2.98, 4.03, 0.00, 5.63 μB per cell.